Computed, not measured: a geometry-optimized LiMn2BiO6 structure at the GGA+U level of DFT.

Unit cell a=5.4391 b=5.4391 c=5.4391 alpha=58.90 beta=58.90 gamma=58.90
Closest atoms and distances in Å follow each position.
Sites, in units of the cell vectors:
Li 0.0000 0.0000 0.0000  6 O 2.22-2.25
Mn 0.2152 0.2152 0.2152  6 O 1.96-2.01
Mn 0.7121 0.7121 0.7121  6 O 1.94-2.00
Bi 0.4883 0.4883 0.4883  6 O 2.28-2.36
O 0.0434 0.4423 0.8766  2 Mn 1.94-2.01
O 0.3588 0.9374 0.5629  2 Mn 1.96-2.00
O 0.4423 0.8766 0.0434  2 Mn 1.94-2.01
O 0.5629 0.3588 0.9374  2 Mn 1.96-2.00
O 0.8766 0.0434 0.4423  2 Mn 1.94-2.01
O 0.9374 0.5629 0.3588  2 Mn 1.96-2.00

The density of states at the Fermi level comes out at 0.1798 states/eV per atom. The calculation puts the calculated total energy at -6.420 eV/atom.